1.
# Bi3B6O14 (meta-GGA SCAN, single point on PBEsol structure)
# Formation energy from raw total energies = -2061.9 meV per atom
data_Bi3B6O14
_chemical_formula_sum 'Bi3 B6 O14'
_space_group_name_H-M_alt 'P 1'
_space_group_IT_number 1
_cell_length_a 6.420
_cell_length_b 6.545
_cell_length_c 6.584
_cell_angle_alpha 90.66
_cell_angle_beta 91.66
_cell_angle_gamma 119.24
loop_
_space_group_symop_operation_xyz
'x,y,z'
loop_
_atom_site_label
_atom_site_fract_x
_atom_site_fract_y
_atom_site_fract_z
Bi1 0.000 0.000 0.000
Bi2 0.229 0.652 0.291
Bi3 0.607 0.190 0.685
B1 0.167 0.583 0.836
B2 0.454 0.456 0.020
B3 0.562 0.643 0.677
B4 0.602 0.197 0.178
B5 0.715 0.597 0.327
B6 0.991 0.922 0.575
O1 0.138 0.739 0.985
O2 0.193 0.064 0.682
O3 0.212 0.427 0.981
O4 0.381 0.712 0.710
O5 0.400 0.233 0.107
O6 0.524 0.024 0.341
O7 0.549 0.518 0.490
O8 0.580 0.496 0.834
O9 0.599 0.657 0.159
O10 0.686 0.121 0.006
O11 0.784 0.425 0.269
O12 0.787 0.878 0.682
O13 0.957 0.817 0.384
O14 0.984 0.458 0.680

2.
# BiBPbO4 (meta-GGA SCAN, single point on PBEsol structure)
# Formation energy from raw total energies = -1738.4 meV per atom
data_BiBPbO4
_chemical_formula_sum 'Bi8 B8 Pb8 O32'
_space_group_name_H-M_alt 'C m c e'
_space_group_IT_number 64
_space_group_name_Hall '-C 2ac 2'
_cell_length_a 11.055
_cell_length_b 10.455
_cell_length_c 7.388
_cell_angle_alpha 90.00
_cell_angle_beta 90.00
_cell_angle_gamma 90.00
loop_
_atom_site_label
_atom_site_fract_x
_atom_site_fract_y
_atom_site_fract_z
Bi1 0.159 0.000 0.000
B1 0.250 0.240 0.250
Pb1 0.000 0.184 0.603
O1 0.000 0.107 0.900
O2 0.145 0.173 0.209
O3 0.250 0.129 0.750

The records above give, respectively, total magnetization values of 0.99 0.00 Bohr magnetons per cell.